{"formula": "PtRh3", "functional": "PBE-GGA", "state": "optimized geometry", "cell": [[5.494, 0.000, 0.000], [0.000, 13.431, 0.000], [0.000, 0.000, 4.733]], "species": ["Pt", "Pt", "Pt", "Pt", "Pt", "Pt", "Rh", "Rh", "Rh", "Rh", "Rh", "Rh", "Rh", "Rh", "Rh", "Rh", "Rh", "Rh", "Rh", "Rh", "Rh", "Rh", "Rh", "Rh"], "fractional_positions": [[0.250, 0.083, 0.167], [0.250, 0.417, 0.167], [0.250, 0.750, 0.500], [0.750, 0.250, 0.500], [0.750, 0.583, 0.833], [0.750, 0.917, 0.833], [0.000, 0.083, 0.667], [0.000, 0.417, 0.667], [0.000, 0.583, 0.333], [0.000, 0.917, 0.333], [0.001, 0.250, 0.000], [0.250, 0.250, 0.503], [0.250, 0.582, 0.833], [0.250, 0.918, 0.833], [0.499, 0.250, 0.000], [0.500, 0.083, 0.667], [0.500, 0.417, 0.667], [0.500, 0.583, 0.333], [0.500, 0.917, 0.333], [0.501, 0.750, 0.000], [0.750, 0.082, 0.167], [0.750, 0.418, 0.167], [0.750, 0.750, 0.497], [0.999, 0.750, 0.000]], "crystal_system": "orthorhombic", "sg": "Pmmn", "delta_e_f_ev_per_atom": 0.0018, "volume_a3_per_cell": 349.3, "m_tot_mub_per_fu": 0.000}